<a>
{
  "formula": "Ba3TlAg",
  "functional": "PBE-GGA",
  "state": "optimized geometry",
  "spacegroup": "Amm2, No. 38",
  "lattice": [[4.502, -0.001, -0.001], [0.002, 10.568, 0.172], [0.003, 3.836, 9.854]],
  "species": ["Ba", "Ba", "Ba", "Ba", "Ba", "Ba", "Tl", "Tl", "Ag", "Ag"],
  "fractional_positions": [[0.864, 0.394, 0.822], [0.864, 0.995, 0.671], [0.863, 0.618, 0.047], [0.363, 0.032, 0.084], [0.863, 0.770, 0.446], [0.363, 0.357, 0.409], [0.363, 0.694, 0.746], [0.863, 0.194, 0.247], [0.362, 0.694, 0.246], [0.364, 0.194, 0.746]]
}

***

<b>
{
  "formula": "Ba3TlAg",
  "functional": "PBE-GGA",
  "state": "optimized geometry",
  "spacegroup": "Pm-3m, No. 221",
  "lattice": [[-3.719, 5.084, -1.101], [-5.196, -3.568, 1.075], [0.241, 1.520, 6.206]],
  "species": ["Tl", "Ba", "Ba", "Ba", "Ag"],
  "fractional_positions": [[0.500, 0.500, 0.500], [0.000, 0.500, 0.000], [0.000, 0.000, 0.500], [0.500, 0.000, 0.000], [0.000, 0.000, 0.000]]
}

***

The calculated energies rank the structures as follows, beginning with the most stable: <a>, <b>.